[1]
Material: CoNiSbRu
Method: DFT, PBE-GGA
State: optimized geometry

Summary:
E ... -103.90 eV for the cell shown
N(E_F) ... 19.5 states/eV/cell
Raw formation energy ... 0.077 eV/atom
Size of the total moment ... 5.146 Bohr magnetons per cell

Lattice parameters (Å, degrees): 6.0605 6.0605 6.0605 90.00 90.00 90.00
Space group F-43m (No. 216)
One atom of each set of equivalent atoms:
Co  0.0000  0.0000  0.0000
Ni  0.2500  0.2500  0.2500
Sb  0.2500  0.2500  0.7500
Ru  0.0000  0.0000  0.5000

[2]
Material: ScCo2NiRu
Method: DFT, PBE-GGA
State: optimized geometry

Summary:
E ... -31.44 eV for the cell shown
N(E_F) ... 6.6 states/eV/cell
Formation enthalpy at 0 K ... 80.4 kJ/mol of atoms
Size of the total moment ... 4.908 Bohr magnetons per cell

Lattice parameters (Å, degrees): 4.2315 4.2315 4.5293 90.00 90.00 90.00
Space group P4/mmm (No. 123)
One atom of each set of equivalent atoms:
Sc  0.0000  0.0000  0.0000
Co  0.0000  0.5000  0.5000
Ni  0.0000  0.0000  0.5000
Ru  0.5000  0.5000  0.0000

Which of these has the lowest E?
CoNiSbRu

The highest size of the total moment belongs to which entry?
CoNiSbRu

The lowest N(E_F) belongs to which entry?
ScCo2NiRu

Among the records above, which one has the lowest E?
CoNiSbRu